# 1
AlSbPtI2: optimized geometry, PBE.

Lattice parameters (Å, degrees): 5.6903 5.6903 5.1300 90.00 90.00 90.00
Last column: nearest neighbours and their distance in Å.
Positions (direct):
Al  0.0000  0.0000  0.0000  8 I 3.83, 4 Sb 4.02
Sb  0.5000  0.5000  0.0000  2 Pt 2.57
Pt  0.5000  0.5000  0.5000  2 Sb 2.57, 4 I 2.85
I  0.0000  0.5000  0.5000  2 Pt 2.85
I  0.5000  0.0000  0.5000  2 Pt 2.85

Summary:
uncorrected formation energy: 0.3198 eV/atom
energy above the lowest structure with this stoichiometry: 0 meV/atom
SG: No. 123
calculated density: 5.97 g/cm³



# 2
ScAlPt2I: optimized geometry, PBE.

Lattice parameters (Å, degrees): 5.0475 5.0475 5.1220 90.00 90.00 90.00
Last column: nearest neighbours and their distance in Å.
Positions (direct):
Sc  0.0000  0.0000  0.0000  4 Al 3.57, 8 Pt 3.60
Al  0.5000  0.5000  0.0000  2 I 2.56
Pt  0.0000  0.5000  0.5000  2 I 2.52
Pt  0.5000  0.0000  0.5000  2 I 2.52
I  0.5000  0.5000  0.5000  4 Pt 2.52, 2 Al 2.56

Summary:
uncorrected formation energy: 0.8658 eV/atom
SG: No. 123
calculated density: 7.50 g/cm³



# 3
AlSiPtI2: optimized geometry, PBE.

Lattice parameters (Å, degrees): 5.6300 5.6300 4.7147 90.00 90.00 90.00
Last column: nearest neighbours and their distance in Å.
Positions (direct):
Al  0.0000  0.0000  0.0000  2 Pt 2.36
Si  0.5000  0.5000  0.0000  8 I 3.67, 4 Al 3.98
Pt  0.0000  0.0000  0.5000  2 Al 2.36
I  0.0000  0.5000  0.5000  2 Pt 2.81
I  0.5000  0.0000  0.5000  2 Pt 2.81

Summary:
uncorrected formation energy: 0.5561 eV/atom
SG: No. 123
calculated density: 5.60 g/cm³



# 4
AlSn2PtI: optimized geometry, PBE.

Lattice parameters (Å, degrees): 5.2646 5.2646 5.2352 90.00 90.00 90.00
Last column: nearest neighbours and their distance in Å.
Positions (direct):
Al  0.0000  0.0000  0.0000  2 I 2.62, 4 Sn 2.63
Sn  0.0000  0.5000  0.0000  2 Al 2.63
Sn  0.5000  0.0000  0.0000  2 Al 2.63
Pt  0.5000  0.5000  0.5000  8 Sn 3.71, 4 I 3.72
I  0.0000  0.0000  0.5000  2 Al 2.62

Summary:
uncorrected formation energy: 0.7433 eV/atom
SG: No. 123
calculated density: 6.71 g/cm³



# 5
SrAlPtI2: optimized geometry, PBE.

Lattice parameters (Å, degrees): 5.7329 5.7329 4.8203 90.00 90.00 90.00
Last column: nearest neighbours and their distance in Å.
Positions (direct):
Sr  0.0000  0.0000  0.0000  8 I 3.75, 4 Pt 4.05
Al  0.5000  0.5000  0.5000  2 Pt 2.41
Pt  0.5000  0.5000  0.0000  2 Al 2.41
I  0.0000  0.5000  0.5000  2 Al 2.87
I  0.5000  0.0000  0.5000  2 Al 2.87

Summary:
uncorrected formation energy: -0.4755 eV/atom
SG: No. 123
calculated density: 5.91 g/cm³



# 6
Sr2AlPtI: optimized geometry, PBE.

Lattice parameters (Å, degrees): 6.0597 6.0597 4.7221 90.00 90.00 90.00
Last column: nearest neighbours and their distance in Å.
Positions (direct):
Sr  0.0000  0.5000  0.0000  2 Pt 3.03
Sr  0.5000  0.0000  0.0000  2 Pt 3.03
Al  0.0000  0.0000  0.5000  2 Pt 2.36
Pt  0.0000  0.0000  0.0000  2 Al 2.36
I  0.5000  0.5000  0.5000  8 Sr 3.84, 4 Al 4.28

Summary:
uncorrected formation energy: -0.8594 eV/atom
SG: No. 123
calculated density: 5.02 g/cm³



# 7
TaAlPtI2: optimized geometry, PBE.

Lattice parameters (Å, degrees): 5.1745 5.1745 5.2434 90.00 90.00 90.00
Last column: nearest neighbours and their distance in Å.
Positions (direct):
Ta  0.0000  0.0000  0.0000  2 Al 2.62
Al  0.0000  0.0000  0.5000  4 I 2.59, 2 Ta 2.62
Pt  0.5000  0.5000  0.0000  4 Ta 3.66, 8 I 3.68
I  0.0000  0.5000  0.5000  2 Al 2.59
I  0.5000  0.0000  0.5000  2 Al 2.59

Summary:
uncorrected formation energy: 1.5204 eV/atom
SG: No. 123
calculated density: 7.77 g/cm³



# 8
AlTe2PtI: optimized geometry, PBE.

Lattice parameters (Å, degrees): 5.3208 5.3208 5.1737 90.00 90.00 90.00
Last column: nearest neighbours and their distance in Å.
Positions (direct):
Al  0.0000  0.0000  0.0000  2 I 2.59, 4 Te 2.66
Te  0.0000  0.5000  0.0000  2 Al 2.66
Te  0.5000  0.0000  0.0000  2 Al 2.66
Pt  0.5000  0.5000  0.5000  8 Te 3.71, 4 I 3.76
I  0.0000  0.0000  0.5000  2 Al 2.59

Summary:
uncorrected formation energy: 0.7741 eV/atom
energy above the lowest structure with this stoichiometry: 433 meV/atom
SG: No. 123
calculated density: 6.85 g/cm³